UAl2Cu: optimized geometry, PBE.

Output
Fermi-level density of states = 1.55 states/eV/atom
Electronic total energy = -5.501 eV per atom

abc: 4.6906 4.6906 4.6906
angles: 60.00 60.00 60.00
Closest atoms and distances in Å follow each position.
Positions (direct):
1 U 0.0000 0.0000 0.0000  8 Al 2.87
2 Al 0.2500 0.2500 0.2500  4 Cu 2.87, 4 U 2.87
3 Al 0.7500 0.7500 0.7500  4 Cu 2.87, 4 U 2.87
4 Cu 0.5000 0.5000 0.5000  8 Al 2.87